1.
Here is an optimized crystal structure of InCu2Au6 from the Alexandria database. Energies are from PBE-GGA.

POSCAR file:
```
InCu2Au6
1.0
-1.678 3.422 1.593
-3.267 -4.653 6.555
7.225 1.404 4.598
In Cu Au
2 4 12
Direct
0.500 0.500 0.000 In
0.000 0.000 0.500 In
0.000 0.323 0.823 Cu
0.500 0.823 0.677 Cu
0.500 0.177 0.323 Cu
0.000 0.677 0.177 Cu
0.000 0.004 0.172 Au
0.000 0.672 0.504 Au
0.000 0.662 0.838 Au
0.500 0.162 0.662 Au
0.500 0.172 0.996 Au
0.500 0.504 0.328 Au
0.000 0.996 0.828 Au
0.000 0.328 0.496 Au
0.000 0.338 0.162 Au
0.500 0.838 0.338 Au
0.500 0.828 0.004 Au
0.500 0.496 0.672 Au
```

Results
excess energy over the best structure of this formula in the dataset	5	meV per atom
V	311	Å³/cell
SG	P4_2/mnm
energy of formation from the pure elements	-4.0	kJ per mole of atoms

2.
Here is an optimized crystal structure of Li2InCuAu5 from the Alexandria database. Energies are from PBE-GGA.

POSCAR file:
```
Li2InCuAu5
1.0
-6.672 -2.891 1.484
3.237 -6.218 2.437
1.943 6.729 3.289
Li In Cu Au
4 2 2 10
Direct
0.107 0.393 0.000 Li
0.607 0.107 0.000 Li
0.393 0.893 0.000 Li
0.893 0.607 0.000 Li
0.250 0.250 0.500 In
0.750 0.750 0.500 In
0.250 0.750 0.500 Cu
0.750 0.250 0.500 Cu
0.926 0.426 0.257 Au
0.668 0.168 0.743 Au
0.074 0.574 0.743 Au
0.168 0.074 0.743 Au
0.574 0.668 0.743 Au
0.832 0.926 0.257 Au
0.426 0.332 0.257 Au
0.332 0.832 0.257 Au
0.500 0.500 0.000 Au
0.000 0.000 0.000 Au
```

Results
V	313	Å³/cell
SG	I4/mcm
energy of formation from the pure elements	-14.5	kJ per mole of atoms

3.
Here is an optimized crystal structure of LuInCuAu from the Alexandria database. Energies are from PBE-GGA.

POSCAR file:
```
LuInCuAu
1.0
-1.676 -0.062 4.476
-4.543 -1.231 0.834
-0.996 -4.166 2.122
Lu Au Cu In
1 1 1 1
Direct
0.000 0.000 0.000 Lu
0.750 0.750 0.750 Au
0.250 0.250 0.250 Cu
0.500 0.500 0.500 In
```

Results
V	77	Å³/cell
SG	F-43m
energy of formation from the pure elements	-47.4	kJ per mole of atoms